A plane-wave DFT calculation with PBE-GGA was carried out for a geometry-optimized AlTlRh4 structure.

Unit cell a=5.2039 b=5.2039 c=5.2039 alpha=60.00 beta=60.00 gamma=60.00
Fractional positions:
Al1 0.0000 0.0000 0.0000
Tl1 0.7500 0.7500 0.7500
Rh1 0.8757 0.3748 0.3748
Rh2 0.3748 0.3748 0.8757
Rh3 0.3748 0.8757 0.3748
Rh4 0.3748 0.3748 0.3748

Properties
For the energy of formation, the calculation gives 143 meV/atom. The energy is -5.776 eV per atom. The symmetry is F-43m (216).